The following is a DFT calculation (PBE+U) of an optimized crystal structure of SrNiO.

The structure in CIF format:
```
data_SrNiO
_chemical_formula_sum 'Sr2 Ni2 O2'
_space_group_name_H-M_alt 'P 1'
_space_group_IT_number 1
_cell_length_a 6.810
_cell_length_b 3.575
_cell_length_c 6.824
_cell_angle_alpha 75.23
_cell_angle_beta 116.97
_cell_angle_gamma 104.81
loop_
_space_group_symop_operation_xyz
'x,y,z'
loop_
_atom_site_label
_atom_site_fract_x
_atom_site_fract_y
_atom_site_fract_z
_atom_site_occupancy
Sr1 0.962 0.180 0.224 1
Sr2 0.462 0.180 0.724 1
O1 0.212 0.681 0.474 1
O2 0.711 0.678 0.974 1
Ni1 0.533 0.495 0.152 1
Ni2 0.390 0.864 0.297 1
```

Computed properties:
The calculation puts the energy at -4.219 eV per atom. The total magnetization is 2.00 Bohr magnetons per cell.